Record 1
Cu2Si3: relaxed, GGA-PBE.

Results
formation energy without anion corrections	0.19	eV per atom

a b c (Å): 2.9210 2.9210 27.6588
angles (deg): 90.00 90.00 120.00
Space group R-3m (No. 166, hexagonal axes)
Unique sites:
Cu: 0.0000 0.0000 0.0982 [6 per cell]
Si: 0.0000 0.0000 0.3006 [6 per cell]
Si: 0.0000 0.0000 0.5000 [3 per cell]

Record 2
BaNiW: relaxed, GGA-PBE.

Results
E above lowest polymorph	0.411	eV/f.u.
energy relative to the elements	0.457	eV/atom

a b c (Å): 7.3699 4.2608 10.9934
angles (deg): 90.00 102.66 90.00
Space group Cm (No. 8)
Unique sites:
Ba: 0.0000 0.0000 0.0000 [2 per cell]
Ba: 0.0331 0.5000 0.6128 [2 per cell]
Ni: 0.2273 0.5000 0.1814 [2 per cell]
Ni: 0.4242 0.0000 0.2758 [2 per cell]
W: 0.1016 0.0000 0.3083 [2 per cell]
W: 0.2987 0.5000 0.4036 [2 per cell]

Record 3
Pm4MgZn2Pd: relaxed, GGA-PBE.

Results
energy relative to the elements	-0.377	eV/atom

a b c (Å): 5.2205 5.2205 25.5735
angles (deg): 90.00 90.00 120.00
Space group R-3m (No. 166, hexagonal axes)
Unique sites:
Pm: 0.0000 0.0000 0.1175 [6 per cell]
Pm: 0.0000 0.0000 0.3700 [6 per cell]
Mg: 0.0000 0.0000 0.5000 [3 per cell]
Zn: 0.0000 0.0000 0.2394 [6 per cell]
Pd: 0.0000 0.0000 0.0000 [3 per cell]

Record 4
Ce3PrGa4: relaxed, GGA-PBE.

Results
energy relative to the elements	-0.477	eV/atom

a b c (Å): 4.7590 4.7590 8.4078
angles (deg): 90.00 90.00 90.00
Space group P4/mmm (No. 123)
Unique sites:
Ce: 0.0000 0.0000 0.0000 [1 per cell]
Ce: 0.0000 0.0000 0.5000 [1 per cell]
Ce: 0.5000 0.5000 0.0000 [1 per cell]
Pr: 0.5000 0.5000 0.5000 [1 per cell]
Ga: 0.0000 0.5000 0.2472 [4 per cell]

Record 5
InCuO2F: relaxed, GGA-PBE.

Results
formation energy without anion corrections	-0.82	eV per atom

a b c (Å): 3.9076 3.9076 3.8160
angles (deg): 90.00 90.00 90.00
Space group P4/mmm (No. 123)
Unique sites:
In: 0.0000 0.0000 0.0000 [1 per cell]
Cu: 0.5000 0.5000 0.5000 [1 per cell]
O: 0.0000 0.5000 0.5000 [2 per cell]
F: 0.5000 0.5000 0.0000 [1 per cell]

Record 6
MgCdTc: relaxed, GGA-PBE.

Results
E above lowest polymorph	0.626	eV/f.u.
energy relative to the elements	0.304	eV/atom

a b c (Å): 2.8195 2.8195 13.5667
angles (deg): 90.00 90.00 90.00
Space group I4mm (No. 107)
Unique sites:
Mg: 0.0000 0.0000 0.0000 [2 per cell]
Cd: 0.0000 0.0000 0.3150 [2 per cell]
Tc: 0.0000 0.0000 0.6515 [2 per cell]

Record 7
Zr3BiS: relaxed, GGA-PBE.

Results
E above lowest polymorph	0.000	eV/f.u.
formation energy without anion corrections	-0.71	eV per atom

a b c (Å): 9.3282 12.3641 3.9758
angles (deg): 90.00 90.00 90.00
Space group Cmmm (No. 65)
Unique sites:
Zr: 0.0000 0.1912 0.0000 [4 per cell]
Zr: 0.1915 0.3676 0.5000 [8 per cell]
Bi: 0.0000 0.0000 0.5000 [2 per cell]
Bi: 0.0000 0.5000 0.0000 [2 per cell]
S: 0.2500 0.2500 0.0000 [4 per cell]

Record 8
SrMgBiF: relaxed, GGA-PBE.

Results
formation energy without anion corrections	-1.82	eV per atom

a b c (Å): 4.5484 4.5484 9.7087
angles (deg): 90.00 90.00 90.00
Space group P4/nmm (No. 129, origin choice 2)
Unique sites:
Sr: 0.2500 0.2500 0.1260 [2 per cell]
Mg: 0.2500 0.7500 0.5000 [2 per cell]
Bi: 0.2500 0.2500 0.6946 [2 per cell]
F: 0.2500 0.7500 0.0000 [2 per cell]

Record 9
LaTh3As4: relaxed, GGA-PBE.

Results
energy relative to the elements	-1.450	eV/atom

a b c (Å): 8.5784 12.0952 4.2702
angles (deg): 90.00 90.00 90.00
Space group Cmmm (No. 65)
Unique sites:
La: 0.0000 0.0000 0.0000 [2 per cell]
Th: 0.0000 0.5000 0.0000 [2 per cell]
Th: 0.2500 0.2500 0.5000 [4 per cell]
As: 0.0000 0.2522 0.0000 [4 per cell]
As: 0.2450 0.5000 0.5000 [4 per cell]

Record 10
NdThRuBr: relaxed, GGA-PBE.

Results
formation energy without anion corrections	-0.85	eV per atom

a b c (Å): 4.0877 4.0877 24.0654
angles (deg): 90.00 90.00 120.00
Space group R3m (No. 160, hexagonal axes)
Unique sites:
Nd: 0.0000 0.0000 0.0000 [3 per cell]
Th: 0.0000 0.0000 0.2063 [3 per cell]
Ru: 0.0000 0.0000 0.5958 [3 per cell]
Br: 0.0000 0.0000 0.7669 [3 per cell]

Record 11
KAuS3: relaxed, GGA-PBE.

Results
formation energy without anion corrections	-0.32	eV per atom

a b c (Å): 5.2072 8.7832 12.1512
angles (deg): 90.00 101.03 90.00
Space group P2_1/c (No. 14)
Unique sites:
K: 0.1229 0.1818 0.4250 [4 per cell]
Au: 0.3319 0.5393 0.3370 [4 per cell]
S: 0.1949 0.5372 0.5130 [4 per cell]
S: 0.2267 0.6605 0.8209 [4 per cell]
S: 0.4490 0.0266 0.6666 [4 per cell]

Record 12
LuNpAl4: relaxed, GGA-PBE.

Results
energy relative to the elements	-0.229	eV/atom

a b c (Å): 7.7870 7.7870 7.7870
angles (deg): 90.00 90.00 90.00
Space group F-43m (No. 216)
Unique sites:
Lu: 0.0000 0.0000 0.0000 [4 per cell]
Np: 0.2500 0.2500 0.2500 [4 per cell]
Al: 0.1246 0.1246 0.6246 [16 per cell]

Record 13
ErI2Br: relaxed, GGA-PBE.

Results
E above lowest polymorph	0.000	eV/f.u.
formation energy without anion corrections	-1.51	eV per atom

a b c (Å): 4.3090 5.5495 8.6599
angles (deg): 88.95 75.65 90.00
Space group P-1 (No. 2)
Unique sites:
Er: 0.0000 0.0000 0.0000 [1 per cell]
I: 0.3741 0.9928 0.2527 [2 per cell]
Br: 0.0000 0.5000 0.0000 [1 per cell]

Record 14
ScAsRu2: relaxed, GGA-PBE.

Results
energy relative to the elements	0.003	eV/atom

a b c (Å): 3.1104 3.1104 24.1946
angles (deg): 90.00 90.00 120.00
Space group R3m (No. 160, hexagonal axes)
Unique sites:
Sc: 0.0000 0.0000 0.0000 [3 per cell]
As: 0.0000 0.0000 0.2350 [3 per cell]
Ru: 0.0000 0.0000 0.5002 [3 per cell]
Ru: 0.0000 0.0000 0.7439 [3 per cell]

Record 15
Tl2Au3Se2: relaxed, GGA-PBE.

Results
formation energy without anion corrections	-0.14	eV per atom

a b c (Å): 6.6123 8.1474 9.1657
angles (deg): 90.00 127.21 90.00
Space group P2_1/c (No. 14)
Unique sites:
Tl: 0.1259 0.1586 0.4130 [4 per cell]
Au: 0.0000 0.0000 0.0000 [2 per cell]
Au: 0.4477 0.5793 0.2366 [4 per cell]
Se: 0.3603 0.6679 0.5550 [4 per cell]

Record 16
Ca8PdAu5: relaxed, GGA-PBE.

Results
energy relative to the elements	-0.701	eV/atom

a b c (Å): 9.0714 9.0714 9.1198
angles (deg): 90.00 90.00 90.00
Space group I-4 (No. 82)
Unique sites:
Ca: 0.0673 0.1862 0.1954 [8 per cell]
Ca: 0.0698 0.3206 0.5530 [8 per cell]
Pd: 0.0000 0.5000 0.2500 [2 per cell]
Au: 0.0000 0.0000 0.5000 [2 per cell]
Au: 0.1223 0.2509 0.8741 [8 per cell]

Record 17
Tl3ZnF4: relaxed, GGA-PBE.

Results
formation energy without anion corrections	-1.64	eV per atom

a b c (Å): 5.3701 5.3701 13.6618
angles (deg): 90.00 90.00 90.00
Space group I-42m (No. 121)
Unique sites:
Tl: 0.0000 0.0000 0.0000 [2 per cell]
Tl: 0.0000 0.5000 0.2500 [4 per cell]
Zn: 0.0000 0.0000 0.5000 [2 per cell]
F: 0.1972 0.1972 0.4101 [8 per cell]

Record 18
YCr2MoRh: relaxed, GGA-PBE.

Results
energy relative to the elements	1.175	eV/atom

a b c (Å): 4.5205 4.5205 5.2695
angles (deg): 90.00 90.00 90.00
Space group P4/mmm (No. 123)
Unique sites:
Y: 0.0000 0.0000 0.0000 [1 per cell]
Cr: 0.0000 0.5000 0.5000 [2 per cell]
Mo: 0.0000 0.0000 0.5000 [1 per cell]
Rh: 0.5000 0.5000 0.0000 [1 per cell]

Record 19
Li5Cu3: relaxed, GGA-PBE.

Results
E above lowest polymorph	0.000	eV/f.u.
energy relative to the elements	-0.003	eV/atom

a b c (Å): 5.2184 7.9055 10.7501
angles (deg): 90.00 90.00 90.00
Space group Fmmm (No. 69)
Unique sites:
Li: 0.0000 0.0000 0.0000 [4 per cell]
Li: 0.2500 0.2500 0.1301 [16 per cell]
Cu: 0.0000 0.0000 0.2637 [8 per cell]
Cu: 0.0000 0.0000 0.5000 [4 per cell]

Record 20
LiPaPdPb: relaxed, GGA-PBE.

Results
energy relative to the elements	-0.189	eV/atom

a b c (Å): 6.9174 6.9174 6.9174
angles (deg): 90.00 90.00 90.00
Space group F-43m (No. 216)
Unique sites:
Li: 0.0000 0.0000 0.0000 [4 per cell]
Pa: 0.2500 0.2500 0.2500 [4 per cell]
Pd: 0.0000 0.0000 0.5000 [4 per cell]
Pb: 0.2500 0.2500 0.7500 [4 per cell]